Compound: CoMo2S
Source: the Alexandria database
Functional: GGA-PBE
Structure: relaxed

Results
Uncorrected energy   -7.67 eV per atom
N(E_F)   0.48 states/eV per atom
V   18.63 Å³ per atom
Formation energy (no corrections)   215 kJ/mol of formula units

Unit cell a=5.339 b=5.339 c=6.450 alpha=65.56 beta=65.56 gamma=90.00
Fractional coordinates of all 8 atoms:
1 Mo 0.113 0.625 0.250
2 Mo 0.637 0.125 0.250
3 S 0.500 0.500 0.000
4 Mo 0.375 0.363 0.750
5 Co 0.750 0.250 0.500
6 S 0.250 0.750 0.500
7 Mo 0.875 0.887 0.750
8 Co 0.000 0.000 0.000